(1)
Material: Be2SiF
Method: DFT, PBE
State: optimized geometry

Properties
* E: -3.509 eV per atom
* symmetry: Fm-3m
* DOS(E_F): 4.013 states/eV/f.u.
* energy relative to the elements, uncorrected: 0.1777 eV per atom

Cell: 4.0339 4.0339 4.0339 Å, 60.00 60.00 60.00°
Sites, in units of the cell vectors:
Be (0.2500, 0.2500, 0.2500)
Be (0.7500, 0.7500, 0.7500)
Si (0.5000, 0.5000, 0.5000)
F (0.0000, 0.0000, 0.0000)

***

(2)
Material: BeSi3F
Method: DFT, PBE
State: optimized geometry

Properties
* E: -3.648 eV per atom
* symmetry: Pm-3m
* DOS(E_F): 2.866 states/eV/f.u.
* energy relative to the elements, uncorrected: 0.7249 eV per atom

Cell: 4.3091 4.3091 4.3091 Å, 90.00 90.00 90.00°
Sites, in units of the cell vectors:
Be (0.5000, 0.5000, 0.5000)
Si (0.0000, 0.5000, 0.0000)
Si (0.0000, 0.0000, 0.5000)
Si (0.5000, 0.0000, 0.0000)
F (0.0000, 0.0000, 0.0000)

***

(3)
Material: Be2SiF
Method: DFT, PBE
State: optimized geometry

Properties
* E: -4.053 eV per atom
* symmetry: I-42d
* DOS(E_F): 0.577 states/eV/f.u.
* energy relative to the elements, uncorrected: -0.3660 eV per atom

Cell: 4.3848 4.3848 5.9001 Å, 68.19 68.19 90.00°
Sites, in units of the cell vectors:
Be (0.5149, 0.1250, 0.2500)
Be (0.2351, 0.6250, 0.2500)
Be (0.3750, 0.4851, 0.7500)
Be (0.8750, 0.7649, 0.7500)
Si (0.0000, 0.0000, 0.0000)
Si (0.7500, 0.2500, 0.5000)
F (0.5000, 0.5000, 0.0000)
F (0.2500, 0.7500, 0.5000)

***

(4)
Material: Be2SiF8
Method: DFT, PBE
State: optimized geometry

Properties
* E: -5.525 eV per atom
* symmetry: C2/m
* DOS(E_F): 0.000 states/eV/f.u.
* energy relative to the elements, uncorrected: -2.9934 eV per atom

Cell: 4.5170 5.9847 5.9847 Å, 54.12 88.34 88.34°
Sites, in units of the cell vectors:
Be (0.3881, 0.1686, 0.1686)
Be (0.6119, 0.8314, 0.8314)
Si (0.0000, 0.0000, 0.0000)
F (0.8059, 0.1244, 0.7074)
F (0.1941, 0.2926, 0.8756)
F (0.7210, 0.1150, 0.1150)
F (0.2790, 0.8850, 0.8850)
F (0.8059, 0.7074, 0.1244)
F (0.1941, 0.8756, 0.2926)
F (0.3473, 0.3014, 0.3014)
F (0.6527, 0.6986, 0.6986)

***

(5)
Material: BeSi2F
Method: DFT, PBE
State: optimized geometry

Properties
* E: -4.942 eV per atom
* symmetry: C2
* DOS(E_F): 0.315 states/eV/f.u.
* energy relative to the elements, uncorrected: -0.8315 eV per atom

Cell: 3.8879 14.0067 4.8044 Å, 90.00 112.74 90.00°
Sites, in units of the cell vectors:
Be (0.0000, 0.2640, 0.0000)
Be (0.0000, 0.7640, 0.5000)
Be (0.5000, 0.3950, 0.5000)
Be (0.5000, 0.8950, 0.0000)
Si (0.5000, 0.6649, 0.5000)
Si (0.5000, 0.1649, 0.0000)
Si (0.0000, 0.6036, 0.0000)
Si (0.0000, 0.1036, 0.5000)
Si (0.6775, 0.5265, 0.2875)
Si (0.3225, 0.5265, 0.7125)
Si (0.6775, 0.0265, 0.7875)
Si (0.3225, 0.0265, 0.2125)
F (0.1847, 0.3305, 0.2816)
F (0.8153, 0.3305, 0.7184)
F (0.1847, 0.8305, 0.7816)
F (0.8153, 0.8305, 0.2184)

***

(6)
Material: Be3SiF
Method: DFT, PBE
State: optimized geometry

Properties
* E: -3.322 eV per atom
* symmetry: Pm-3m
* DOS(E_F): 1.418 states/eV/f.u.
* energy relative to the elements, uncorrected: 0.3729 eV per atom

Cell: 4.1782 4.1782 4.1782 Å, 90.00 90.00 90.00°
Sites, in units of the cell vectors:
Be (0.0000, 0.5000, 0.0000)
Be (0.0000, 0.0000, 0.5000)
Be (0.5000, 0.0000, 0.0000)
Si (0.0000, 0.0000, 0.0000)
F (0.5000, 0.5000, 0.5000)

***

(7)
Material: BeSi2F
Method: DFT, PBE
State: optimized geometry

Properties
* E: -4.988 eV per atom
* symmetry: Pmc2_1
* DOS(E_F): 0.678 states/eV/f.u.
* energy relative to the elements, uncorrected: -0.8774 eV per atom

Cell: 2.7516 8.4157 4.9273 Å, 90.00 90.00 90.00°
Sites, in units of the cell vectors:
Be (0.5000, 0.3893, 0.5678)
Be (0.5000, 0.6107, 0.0678)
Si (0.0000, 0.1745, 0.5814)
Si (0.0000, 0.8255, 0.0814)
Si (0.0000, 0.1064, 0.0802)
Si (0.0000, 0.8936, 0.5802)
F (0.5000, 0.4929, 0.3085)
F (0.5000, 0.5071, 0.8085)

***

(8)
Material: BeSi3F
Method: DFT, PBE
State: optimized geometry

Properties
* E: -3.959 eV per atom
* symmetry: Pm-3m
* DOS(E_F): 2.495 states/eV/f.u.
* energy relative to the elements, uncorrected: 0.4140 eV per atom

Cell: 4.2809 4.2809 4.2809 Å, 90.00 90.00 90.00°
Sites, in units of the cell vectors:
Be (0.0000, 0.0000, 0.0000)
Si (0.0000, 0.5000, 0.0000)
Si (0.0000, 0.0000, 0.5000)
Si (0.5000, 0.0000, 0.0000)
F (0.5000, 0.5000, 0.5000)

***

(9)
Material: BeSiF2
Method: DFT, PBE
State: optimized geometry

Properties
* E: -3.540 eV per atom
* symmetry: Fm-3m
* DOS(E_F): 0.020 states/eV/f.u.
* energy relative to the elements, uncorrected: -0.3169 eV per atom

Cell: 4.1335 4.1335 4.1335 Å, 60.00 60.00 60.00°
Sites, in units of the cell vectors:
Be (0.0000, 0.0000, 0.0000)
Si (0.5000, 0.5000, 0.5000)
F (0.2500, 0.2500, 0.2500)
F (0.7500, 0.7500, 0.7500)

***

(10)
Material: BeSiF2
Method: DFT, PBE
State: optimized geometry

Properties
* E: -4.618 eV per atom
* symmetry: R-3m
* DOS(E_F): 1.502 states/eV/f.u.
* energy relative to the elements, uncorrected: -1.3951 eV per atom

Cell: 10.1148 10.1148 10.1148 Å, 16.01 16.01 16.01°
Sites, in units of the cell vectors:
Be (0.0000, 0.0000, 0.0000)
Si (0.5000, 0.5000, 0.5000)
F (0.9541, 0.9541, 0.9541)
F (0.0459, 0.0459, 0.0459)

***

(11)
Material: BeSi2F
Method: DFT, PBE
State: optimized geometry

Properties
* E: -4.009 eV per atom
* symmetry: I-42d
* DOS(E_F): 1.890 states/eV/f.u.
* energy relative to the elements, uncorrected: 0.1022 eV per atom

Cell: 4.8108 4.8108 6.5090 Å, 68.31 68.31 90.00°
Sites, in units of the cell vectors:
Be (0.5000, 0.5000, 0.0000)
Be (0.2500, 0.7500, 0.5000)
Si (0.5993, 0.1250, 0.2500)
Si (0.1507, 0.6250, 0.2500)
Si (0.3750, 0.4007, 0.7500)
Si (0.8750, 0.8493, 0.7500)
F (0.0000, 0.0000, 0.0000)
F (0.7500, 0.2500, 0.5000)

***

(12)
Material: BeSiF2
Method: DFT, PBE
State: optimized geometry

Properties
* E: -5.203 eV per atom
* symmetry: R-3m
* DOS(E_F): 0.934 states/eV/f.u.
* energy relative to the elements, uncorrected: -1.9804 eV per atom

Cell: 10.0251 10.0251 10.0251 Å, 14.70 14.70 14.70°
Sites, in units of the cell vectors:
Be (0.5000, 0.5000, 0.5000)
Si (0.0000, 0.0000, 0.0000)
F (0.8641, 0.8641, 0.8641)
F (0.1359, 0.1359, 0.1359)

***

(13)
Material: Be3SiF
Method: DFT, PBE
State: optimized geometry

Properties
* E: -3.574 eV per atom
* symmetry: Pm-3m
* DOS(E_F): 0.597 states/eV/f.u.
* energy relative to the elements, uncorrected: 0.1203 eV per atom

Cell: 3.7425 3.7425 3.7425 Å, 90.00 90.00 90.00°
Sites, in units of the cell vectors:
Be (0.0000, 0.5000, 0.0000)
Be (0.0000, 0.0000, 0.5000)
Be (0.5000, 0.0000, 0.0000)
Si (0.5000, 0.5000, 0.5000)
F (0.0000, 0.0000, 0.0000)

***

(14)
Material: BeTl2SiF
Method: DFT, PBE
State: optimized geometry

Properties
* E: -3.200 eV per atom
* symmetry: P4/mmm
* DOS(E_F): 1.832 states/eV/f.u.
* energy relative to the elements, uncorrected: -0.0496 eV per atom

Cell: 5.5167 4.0984 5.5167 Å, 90.00 90.00 90.00°
Sites, in units of the cell vectors:
Be (0.0000, 0.5000, 0.0000)
Tl (0.0000, 0.0000, 0.5000)
Tl (0.5000, 0.0000, 0.0000)
Si (0.0000, 0.0000, 0.0000)
F (0.5000, 0.5000, 0.5000)